CrInGa2Os | Alexandria via LeMat-Bulk | PBE | optimized geometry; energy = -0.2759 Ry per atom; SG = P4/mmm
1.0
4.8706 0.0000 0.0000
0.0000 4.8706 0.0000
0.0000 0.0000 4.8738
Cr In Ga Os
1 1 2 1
direct
0.0000 0.0000 0.0000 Cr
0.0000 0.0000 0.5000 In
0.0000 0.5000 0.5000 Ga
0.5000 0.0000 0.5000 Ga
0.5000 0.5000 0.0000 Os

CrInGaRh | Alexandria via LeMat-Bulk | PBE | optimized geometry; energy = -0.4278 Ry per atom; SG = F-43m
1.0
0.0000 3.1705 3.1705
3.1705 0.0000 3.1705
3.1705 3.1705 0.0000
Cr In Ga Rh
1 1 1 1
direct
0.0000 0.0000 0.0000 Cr
0.7500 0.7500 0.7500 In
0.2500 0.2500 0.2500 Ga
0.5000 0.5000 0.5000 Rh

CrIn2GaRh | Alexandria via LeMat-Bulk | PBE | optimized geometry; energy = -0.3529 Ry per atom; SG = P4/mmm
1.0
5.1146 0.0000 0.0000
0.0000 5.1146 0.0000
0.0000 0.0000 4.7485
Cr In Ga Rh
1 2 1 1
direct
0.0000 0.0000 0.0000 Cr
0.0000 0.5000 0.5000 In
0.5000 0.0000 0.5000 In
0.5000 0.5000 0.0000 Ga
0.5000 0.5000 0.5000 Rh

Result set for calculated formation energy: 2176; -135; 294 meV/atom, one per record in the order listed.